Record 1
Crystalline LiFeMo2Rh at its relaxed geometry. Source: Alexandria via LeMat-Bulk, functional PBE-GGA.

Calculated values
- Formation energy: 1.00 eV per atom
- Uncorrected energy: -34.4 eV for the cell shown
- Crystal system: tetragonal

abc: 4.3882 4.3882 4.0933
angles: 90.00 90.00 90.00
Space group P4/mmm (No. 123)
One atom of each set of equivalent atoms:
Li1 0.0000 0.0000 0.0000
Fe1 0.0000 0.0000 0.5000
Mo1 0.0000 0.5000 0.5000
Rh1 0.5000 0.5000 0.0000



Record 2
Crystalline LiFeMoRu at its relaxed geometry. Source: Alexandria via LeMat-Bulk, functional PBE-GGA.

Calculated values
- Formation energy: 0.14 eV per atom
- Uncorrected energy: -119.8 eV for the cell shown
- Crystal system: cubic

abc: 5.9107 5.9107 5.9107
angles: 90.00 90.00 90.00
Space group F-43m (No. 216)
One atom of each set of equivalent atoms:
Li1 0.0000 0.0000 0.0000
Fe1 0.2500 0.2500 0.2500
Mo1 0.0000 0.0000 0.5000
Ru1 0.2500 0.2500 0.7500



Record 3
Crystalline LiFeSnMo at its relaxed geometry. Source: Alexandria via LeMat-Bulk, functional PBE-GGA.

Calculated values
- Formation energy: 0.06 eV per atom
- Uncorrected energy: -99.8 eV for the cell shown
- Crystal system: cubic

abc: 6.0951 6.0951 6.0951
angles: 90.00 90.00 90.00
Space group F-43m (No. 216)
One atom of each set of equivalent atoms:
Li1 0.0000 0.0000 0.0000
Fe1 0.0000 0.0000 0.5000
Sn1 0.2500 0.2500 0.2500
Mo1 0.2500 0.2500 0.7500



Record 4
Crystalline LiFeN at its relaxed geometry. Source: Alexandria via LeMat-Bulk, functional PBE-GGA.

Calculated values
- Formation energy from raw total energies: -0.13 eV per atom
- Uncorrected energy: -76.4 eV for the cell shown
- Crystal system: orthorhombic

abc: 6.6640 3.1735 4.9710
angles: 90.00 90.00 90.00
Space group Pnma (No. 62)
One atom of each set of equivalent atoms:
Li1 0.1063 0.2500 0.1162
Fe1 0.1235 0.2500 0.5923
N1 0.1640 0.7500 0.3665



Record 5
Crystalline LiFeN2 at its relaxed geometry. Source: Alexandria via LeMat-Bulk, functional PBE-GGA.

Calculated values
- Formation energy from raw total energies: 0.23 eV per atom
- Uncorrected energy: -78.3 eV for the cell shown
- Crystal system: trigonal

abc: 2.8343 2.8343 17.6620
angles: 90.00 90.00 120.00
Space group R-3m (No. 166, hexagonal axes)
One atom of each set of equivalent atoms:
Li1 0.0000 0.0000 0.0000
Fe1 0.0000 0.0000 0.5000
N1 0.0000 0.0000 0.1064



Record 6
Crystalline LiFeN at its relaxed geometry. Source: Alexandria via LeMat-Bulk, functional PBE-GGA.

Calculated values
- Formation energy from raw total energies: -0.32 eV per atom
- Uncorrected energy: -78.6 eV for the cell shown
- Crystal system: orthorhombic

abc: 2.9085 9.4648 4.3814
angles: 90.00 90.00 90.00
Space group Imm2 (No. 44)
One atom of each set of equivalent atoms:
Li1 0.0000 0.0000 0.0000
Li2 0.0000 0.5000 0.0228
Fe1 0.0000 0.2617 0.3385
N1 0.0000 0.1516 0.6714



Record 7
Crystalline Li2FeN at its relaxed geometry. Source: Alexandria via LeMat-Bulk, functional PBE-GGA.

Calculated values
- Formation energy from raw total energies: -0.22 eV per atom
- Uncorrected energy: -21.5 eV for the cell shown
- Crystal system: hexagonal

abc: 3.6601 3.6601 3.7274
angles: 90.00 90.00 120.00
Space group P6/mmm (No. 191)
One atom of each set of equivalent atoms:
Li1 0.3333 0.6667 0.0000
Fe1 0.0000 0.0000 0.5000
N1 0.0000 0.0000 0.0000



Record 8
Crystalline LiFeN at its relaxed geometry. Source: Alexandria via LeMat-Bulk, functional PBE-GGA.

Calculated values
- Formation energy from raw total energies: -0.34 eV per atom
- Uncorrected energy: -78.9 eV for the cell shown
- Crystal system: orthorhombic

abc: 9.3839 2.8859 4.3358
angles: 90.00 90.00 90.00
Space group Pnma (No. 62)
One atom of each set of equivalent atoms:
Li1 0.0014 0.2500 0.2376
Fe1 0.2419 0.7500 0.0433
N1 0.1469 0.2500 0.8837



Question: What is the formula in the first record?
Answer: LiFeMo2Rh



Question: Look up the uncorrected energy of the third one.
Answer: -99.8 eV for the cell shown



Question: Number 1 is which compound?
Answer: LiFeMo2Rh



Question: What is the uncorrected energy in the third record?
Answer: -99.8 eV for the cell shown